[1]
Material: ScP4Pt
Method: DFT, PBE
State: optimized geometry

## Properties
- Calculated density: 6.5 g/cm³
- Space group: F-43m
- Volume: 92.6 Å³ per cell
- Energy: -5.588 eV per atom
- DOS at the Fermi energy: 0.55 states/eV per atom

Cell lengths 5.0786, 5.0786, 5.0786 Å; angles 60.00, 60.00, 60.00 degrees
With the nearest neighbours (Å) after each atom.
Atoms (fractional coordinates):
Sc 0.0000 0.0000 0.0000  12 P 2.99, 4 Pt 3.11
P 0.8629 0.3790 0.3790  6 P 2.46-2.62
P 0.3790 0.3790 0.8629  6 P 2.46-2.62
P 0.3790 0.8629 0.3790  6 P 2.46-2.62
P 0.3790 0.3790 0.3790  6 P 2.46-2.62
Pt 0.7500 0.7500 0.7500  12 P 2.97, 4 Sc 3.11

***

[2]
Material: Sr2LiRh
Method: DFT, PBE
State: optimized geometry

## Properties
- Calculated density: 3.8 g/cm³
- Space group: I-42d
- Volume: 251.0 Å³ per cell
- Energy: -3.042 eV per atom
- DOS at the Fermi energy: 0.28 states/eV per atom

Cell lengths 8.4798, 8.4798, 6.9382 Å; angles 52.33, 52.33, 90.00 degrees
With the nearest neighbours (Å) after each atom.
Atoms (fractional coordinates):
Sr 0.6773 0.1250 0.2500  2 Rh 2.84
Sr 0.0727 0.6250 0.2500  2 Rh 2.84
Sr 0.3750 0.3227 0.7500  2 Rh 2.84
Sr 0.8750 0.9273 0.7500  2 Rh 2.84
Rh 0.0000 0.0000 0.0000  4 Sr 2.84
Rh 0.7500 0.2500 0.5000  4 Sr 2.84
Li 0.5000 0.5000 0.0000  8 Sr 3.44-3.76, 2 Rh 3.49
Li 0.2500 0.7500 0.5000  8 Sr 3.44-3.76, 2 Rh 3.49

***

[3]
Material: ScMoAs2Rh
Method: DFT, PBE
State: optimized geometry

## Properties
- Calculated density: 5.9 g/cm³
- Space group: P4/mmm
- Volume: 111.2 Å³ per cell
- Energy: -5.476 eV per atom
- DOS at the Fermi energy: 0.87 states/eV per atom

Cell lengths 4.9004, 4.6286, 4.9004 Å; angles 90.00, 90.00, 90.00 degrees
With the nearest neighbours (Å) after each atom.
Atoms (fractional coordinates):
Sc 0.0000 0.0000 0.0000  2 Mo 2.31, 4 As 2.45
Mo 0.0000 0.5000 0.0000  2 Sc 2.31
Rh 0.5000 0.5000 0.5000  8 As 3.37, 4 Mo 3.47
As 0.0000 0.0000 0.5000  2 Sc 2.45
As 0.5000 0.0000 0.0000  2 Sc 2.45

***

[4]
Material: ZnPtS
Method: DFT, PBE
State: optimized geometry

## Properties
- Calculated density: 9.5 g/cm³
- Space group: Amm2
- Volume: 102.6 Å³ per cell
- Raw formation energy: -0.1 eV/f.u.
- DOS at the Fermi energy: 0.43 states/eV per atom

Cell lengths 3.0535, 3.6737, 10.0579 Å; angles 90.00, 90.00, 114.56 degrees
With the nearest neighbours (Å) after each atom.
Atoms (fractional coordinates):
Pt 0.4211 0.8423 0.0000  2 S 2.34
Pt 0.4407 0.8815 0.5000  6 Zn 2.58-2.62
Zn 0.7468 0.4937 0.3377  2 S 2.49, 3 Pt 2.58-2.62
Zn 0.7468 0.4937 0.6623  2 S 2.49, 3 Pt 2.58-2.62
S 0.1555 0.3111 0.8478  1 Pt 2.34, 2 Zn 2.49
S 0.1555 0.3111 0.1522  1 Pt 2.34, 2 Zn 2.49

***

[5]
Material: Pr12PuIn3
Method: DFT, PBE
State: optimized geometry

## Properties
- Calculated density: 7.4 g/cm³
- Space group: P4/mmm
- Volume: 514.8 Å³ per cell
- Energy: -5.165 eV per atom
- DOS at the Fermi energy: 1.74 states/eV per atom

Cell lengths 5.0236, 5.0236, 20.3984 Å; angles 90.00, 90.00, 90.00 degrees
With the nearest neighbours (Å) after each atom.
Atoms (fractional coordinates):
Pr 0.5000 0.5000 0.0000  4 Pu 3.55, 8 Pr 3.62
Pr 0.5000 0.5000 0.2516  4 In 3.55, 8 Pr 3.56-3.57
Pr 0.5000 0.5000 0.5000  4 In 3.55, 8 Pr 3.57
Pr 0.5000 0.5000 0.7484  4 In 3.55, 8 Pr 3.56-3.57
Pr 0.5000 0.0000 0.1277  8 Pr 3.55-3.62, 2 In 3.59, 2 Pu 3.62
Pr 0.5000 0.0000 0.3759  4 In 3.54-3.57, 8 Pr 3.55-3.57
Pr 0.5000 0.0000 0.6241  4 In 3.54-3.57, 8 Pr 3.55-3.57
Pr 0.5000 0.0000 0.8723  8 Pr 3.55-3.62, 2 In 3.59, 2 Pu 3.62
Pr 0.0000 0.5000 0.1277  8 Pr 3.55-3.62, 2 In 3.59, 2 Pu 3.62
Pr 0.0000 0.5000 0.3759  4 In 3.54-3.57, 8 Pr 3.55-3.57
Pr 0.0000 0.5000 0.6241  4 In 3.54-3.57, 8 Pr 3.55-3.57
Pr 0.0000 0.5000 0.8723  8 Pr 3.55-3.62, 2 In 3.59, 2 Pu 3.62
Pu 0.0000 0.0000 0.0000  12 Pr 3.55-3.62
In 0.0000 0.0000 0.2535  12 Pr 3.54-3.59
In 0.0000 0.0000 0.5000  12 Pr 3.55-3.57
In 0.0000 0.0000 0.7465  12 Pr 3.54-3.59

***

[6]
Material: RbCeSn2
Method: DFT, PBE
State: optimized geometry

## Properties
- Calculated density: 5.3 g/cm³
- Space group: P4/mmm
- Volume: 144.7 Å³ per cell
- Energy: -4.080 eV per atom
- DOS at the Fermi energy: 1.48 states/eV per atom

Cell lengths 4.2330, 4.2330, 8.0765 Å; angles 90.00, 90.00, 90.00 degrees
With the nearest neighbours (Å) after each atom.
Atoms (fractional coordinates):
Rb 0.5000 0.5000 0.5000  8 Sn 3.96, 2 Ce 4.04, 4 Rb 4.23
Sn 0.0000 0.0000 0.8214  1 Sn 2.88
Sn 0.0000 0.0000 0.1786  1 Sn 2.88
Ce 0.5000 0.5000 0.0000  8 Sn 3.32